# 1
Below is crystalline CdSnPO2 at its relaxed geometry, with properties calculated at the PBE level.

a = 3.981 Å, b = 3.981 Å, c = 5.547 Å
α = 90.00°, β = 90.00°, γ = 90.00°
Sites, in units of the cell vectors:
1 O 0.000 0.500 0.000
2 O 0.500 0.000 0.000
3 P 0.000 0.000 0.500
4 Sn 0.000 0.000 0.000
5 Cd 0.500 0.500 0.500

Summary:
As for the offset from the most stable computed form: 0 meV per atom.

# 2
Below is crystalline CdSnPO2 at its relaxed geometry, with properties calculated at the PBE level.

a = 4.146 Å, b = 4.146 Å, c = 5.179 Å
α = 90.00°, β = 90.00°, γ = 90.00°
Site moments in Bohr magnetons follow the coordinates.
Sites, in units of the cell vectors:
1 O 0.000 0.500 0.000  0.17
2 Cd 0.000 0.000 0.000  0.01
3 Sn 0.500 0.500 0.500  -0.01
4 P 0.000 0.000 0.500  0.07
5 O 0.500 0.000 0.000  0.17

Summary:
As for the offset from the most stable computed form: 595 meV per atom.

# 3
Below is crystalline SrCdP2O8 at its relaxed geometry, with properties calculated at the PBE level.

a = 5.368 Å, b = 5.368 Å, c = 7.469 Å
α = 90.00°, β = 90.00°, γ = 120.00°
Site moments in Bohr magnetons follow the coordinates.
Sites, in units of the cell vectors:
1 O 0.350 0.177 0.285  0.20
2 P 0.667 0.333 0.224  -0.02
3 O 0.650 0.823 0.715  0.20
4 P 0.333 0.667 0.776  -0.02
5 Cd 0.000 0.000 0.500  0.02
6 Sr 0.000 0.000 0.000  -0.01
7 O 0.823 0.173 0.285  0.20
8 O 0.827 0.650 0.285  0.20
9 O 0.667 0.333 0.016  0.30
10 O 0.173 0.350 0.715  0.20
11 O 0.333 0.667 0.984  0.30
12 O 0.177 0.827 0.715  0.20

# 4
Below is crystalline TaCdPO2 at its relaxed geometry, with properties calculated at the PBE level.

a = 3.915 Å, b = 3.915 Å, c = 5.301 Å
α = 90.00°, β = 90.00°, γ = 90.00°
Sites, in units of the cell vectors:
1 Ta 0.000 0.000 0.000
2 Cd 0.500 0.500 0.500
3 O 0.500 0.000 0.000
4 O 0.000 0.500 0.000
5 P 0.000 0.000 0.500

Summary:
As for the offset from the most stable computed form: 0 meV per atom.

# 5
Below is crystalline TaCdP2O8 at its relaxed geometry, with properties calculated at the PBE level.

a = 4.921 Å, b = 4.921 Å, c = 7.276 Å
α = 90.98°, β = 90.98°, γ = 65.21°
Site moments in Bohr magnetons follow the coordinates.
Sites, in units of the cell vectors:
1 O 0.210 0.696 0.786  0.00
2 O 0.790 0.304 0.214  0.00
3 P 0.345 0.345 0.765  0.01
4 Ta 0.000 0.000 0.000  0.70
5 O 0.229 0.229 0.932  -0.01
6 O 0.259 0.259 0.581  0.01
7 O 0.304 0.790 0.214  0.00
8 O 0.741 0.741 0.419  0.01
9 Cd 0.000 0.000 0.500  0.04
10 P 0.655 0.655 0.235  0.01
11 O 0.771 0.771 0.068  -0.01
12 O 0.696 0.210 0.786  0.00

# 6
Below is crystalline TaCdP2O at its relaxed geometry, with properties calculated at the PBE level.

a = 4.872 Å, b = 4.872 Å, c = 3.894 Å
α = 90.00°, β = 90.00°, γ = 90.00°
Site moments in Bohr magnetons follow the coordinates.
Sites, in units of the cell vectors:
1 Cd 0.000 0.000 0.000  -0.01
2 Ta 0.500 0.500 0.500  0.63
3 P 0.500 0.000 0.000  -0.07
4 O 0.000 0.000 0.500  -0.08
5 P 0.000 0.500 0.000  -0.07

Summary:
As for the offset from the most stable computed form: 1591 meV per atom.

# 7
Below is crystalline TaCdPO2 at its relaxed geometry, with properties calculated at the PBE level.

a = 3.974 Å, b = 3.974 Å, c = 5.094 Å
α = 90.00°, β = 90.00°, γ = 90.00°
Site moments in Bohr magnetons follow the coordinates.
Sites, in units of the cell vectors:
1 O 0.000 0.500 0.000  -0.02
2 Ta 0.500 0.500 0.500  0.13
3 Cd 0.000 0.000 0.000  0.00
4 O 0.500 0.000 0.000  -0.02
5 P 0.000 0.000 0.500  -0.01

Summary:
As for the offset from the most stable computed form: 2082 meV per atom.

# 8
Below is crystalline TaCdP2O at its relaxed geometry, with properties calculated at the PBE level.

a = 4.984 Å, b = 4.984 Å, c = 3.872 Å
α = 90.00°, β = 90.00°, γ = 90.00°
Sites, in units of the cell vectors:
1 O 0.000 0.000 0.500
2 Ta 0.000 0.000 0.000
3 P 0.500 0.000 0.000
4 P 0.000 0.500 0.000
5 Cd 0.500 0.500 0.500

Summary:
As for the offset from the most stable computed form: 0 meV per atom.

# 9
Below is crystalline CdTcPO2 at its relaxed geometry, with properties calculated at the PBE level.

a = 4.028 Å, b = 4.028 Å, c = 5.203 Å
α = 90.00°, β = 90.00°, γ = 90.00°
Site moments in Bohr magnetons follow the coordinates.
Sites, in units of the cell vectors:
1 O 0.000 0.500 0.000  0.21
2 P 0.000 0.000 0.500  -0.09
3 O 0.500 0.000 0.000  0.21
4 Tc 0.500 0.500 0.500  3.36
5 Cd 0.000 0.000 0.000  0.00

Summary:
As for the offset from the most stable computed form: 1550 meV per atom.

# 10
Below is crystalline CdTcP2O at its relaxed geometry, with properties calculated at the PBE level.

a = 4.833 Å, b = 4.833 Å, c = 3.727 Å
α = 90.00°, β = 90.00°, γ = 90.00°
Sites, in units of the cell vectors:
1 Tc 0.000 0.000 0.000
2 P 0.500 0.000 0.000
3 Cd 0.500 0.500 0.500
4 O 0.000 0.000 0.500
5 P 0.000 0.500 0.000

Summary:
As for the offset from the most stable computed form: 0 meV per atom.

# 11
Below is crystalline CdTcPO2 at its relaxed geometry, with properties calculated at the PBE level.

a = 3.810 Å, b = 3.810 Å, c = 5.199 Å
α = 90.00°, β = 90.00°, γ = 90.00°
Sites, in units of the cell vectors:
1 O 0.000 0.500 0.000
2 P 0.000 0.000 0.500
3 Tc 0.000 0.000 0.000
4 O 0.500 0.000 0.000
5 Cd 0.500 0.500 0.500

Summary:
As for the offset from the most stable computed form: 0 meV per atom.

# 12
Below is crystalline CdTcP2O at its relaxed geometry, with properties calculated at the PBE level.

a = 4.961 Å, b = 4.961 Å, c = 3.982 Å
α = 90.00°, β = 90.00°, γ = 90.00°
Site moments in Bohr magnetons follow the coordinates.
Sites, in units of the cell vectors:
1 P 0.500 0.000 0.000  -0.24
2 Cd 0.000 0.000 0.000  -0.02
3 O 0.000 0.000 0.500  -0.19
4 Tc 0.500 0.500 0.500  3.27
5 P 0.000 0.500 0.000  -0.24

Summary:
As for the offset from the most stable computed form: 1386 meV per atom.

# 13
Below is crystalline CdTePO at its relaxed geometry, with properties calculated at the PBE level.

a = 4.117 Å, b = 5.038 Å, c = 5.501 Å
α = 107.01°, β = 90.10°, γ = 114.00°
Sites, in units of the cell vectors:
1 P 0.974 0.328 0.154
2 Te 0.785 0.947 0.709
3 Cd 0.397 0.172 0.429
4 O 0.135 0.652 0.134

Summary:
As for the offset from the most stable computed form: 0 meV per atom.

# 14
Below is crystalline CdTePO at its relaxed geometry, with properties calculated at the PBE level.

a = 4.405 Å, b = 3.668 Å, c = 12.812 Å
α = 90.00°, β = 108.30°, γ = 90.00°
Sites, in units of the cell vectors:
1 P 0.731 0.500 0.471
2 P 0.731 0.000 0.971
3 O 0.667 0.000 0.084
4 Cd 0.762 0.000 0.722
5 Te 0.359 0.500 0.837
6 O 0.667 0.500 0.584
7 Cd 0.762 0.500 0.222
8 Te 0.359 0.000 0.337

Summary:
As for the offset from the most stable computed form: 109 meV per atom.

# 15
Below is crystalline CdTePO2 at its relaxed geometry, with properties calculated at the PBE level.

a = 4.012 Å, b = 4.012 Å, c = 5.389 Å
α = 90.00°, β = 90.00°, γ = 90.00°
Sites, in units of the cell vectors:
1 O 0.000 0.500 0.000
2 Cd 0.500 0.500 0.500
3 P 0.000 0.000 0.500
4 O 0.500 0.000 0.000
5 Te 0.000 0.000 0.000

Summary:
As for the offset from the most stable computed form: 0 meV per atom.

# 16
Below is crystalline CdTePO at its relaxed geometry, with properties calculated at the PBE level.

a = 3.732 Å, b = 4.669 Å, c = 5.809 Å
α = 108.49°, β = 95.59°, γ = 103.99°
Sites, in units of the cell vectors:
1 P 0.818 0.071 0.241
2 O 0.744 0.753 0.277
3 Te 0.286 0.015 0.872
4 Cd 0.541 0.489 0.574

Summary:
As for the offset from the most stable computed form: 48 meV per atom.

# 17
Below is crystalline CdTePO2 at its relaxed geometry, with properties calculated at the PBE level.

a = 4.143 Å, b = 4.143 Å, c = 5.127 Å
α = 90.00°, β = 90.00°, γ = 90.00°
Sites, in units of the cell vectors:
1 O 0.000 0.500 0.000
2 Cd 0.000 0.000 0.000
3 Te 0.500 0.500 0.500
4 O 0.500 0.000 0.000
5 P 0.000 0.000 0.500

Summary:
As for the offset from the most stable computed form: 718 meV per atom.

# 18
Below is crystalline TiCd2PO at its relaxed geometry, with properties calculated at the PBE level.

a = 5.515 Å, b = 3.652 Å, c = 5.515 Å
α = 90.00°, β = 90.00°, γ = 90.00°
Sites, in units of the cell vectors:
1 Cd 0.500 0.000 0.000
2 P 0.500 0.500 0.500
3 Ti 0.000 0.000 0.000
4 Cd 0.000 0.000 0.500
5 O 0.000 0.500 0.000

# 19
Below is crystalline TlCdP2O6 at its relaxed geometry, with properties calculated at the PBE level.

a = 5.682 Å, b = 5.682 Å, c = 7.272 Å
α = 67.00°, β = 67.00°, γ = 60.00°
Sites, in units of the cell vectors:
1 Tl 0.000 0.000 0.000
2 O 0.707 0.053 0.711
3 O 0.947 0.470 0.289
4 O 0.053 0.530 0.711
5 O 0.530 0.707 0.711
6 P 0.755 0.755 0.734
7 Cd 0.500 0.500 0.500
8 O 0.470 0.293 0.289
9 P 0.245 0.245 0.266
10 O 0.293 0.947 0.289

# 20
Below is crystalline TlCdPO4 at its relaxed geometry, with properties calculated at the PBE level.

a = 5.685 Å, b = 5.767 Å, c = 7.523 Å
α = 90.00°, β = 106.86°, γ = 90.00°
Sites, in units of the cell vectors:
1 O 0.411 0.750 0.218
2 O 0.928 0.034 0.678
3 O 0.424 0.750 0.556
4 O 0.072 0.534 0.322
5 O 0.072 0.966 0.322
6 Cd 0.214 0.250 0.549
7 O 0.589 0.250 0.782
8 Tl 0.305 0.250 0.092
9 Tl 0.695 0.750 0.908
10 O 0.576 0.250 0.444
11 P 0.750 0.250 0.645
12 P 0.250 0.750 0.355
13 O 0.928 0.466 0.678
14 Cd 0.786 0.750 0.451

# 21
Below is crystalline TlCdP2O at its relaxed geometry, with properties calculated at the PBE level.

a = 5.264 Å, b = 5.264 Å, c = 4.118 Å
α = 90.00°, β = 90.00°, γ = 90.00°
Site moments in Bohr magnetons follow the coordinates.
Sites, in units of the cell vectors:
1 Tl 0.000 0.000 0.000  0.01
2 P 0.000 0.500 0.000  0.17
3 P 0.500 0.000 0.000  0.17
4 O 0.000 0.000 0.500  0.13
5 Cd 0.500 0.500 0.500  -0.01

Summary:
As for the offset from the most stable computed form: 176 meV per atom.

# 22
Below is crystalline Tl2CdPO4 at its relaxed geometry, with properties calculated at the PBE level.

a = 5.715 Å, b = 6.131 Å, c = 10.888 Å
α = 82.97°, β = 74.78°, γ = 62.22°
Sites, in units of the cell vectors:
1 O 0.962 0.669 0.583
2 O 0.369 0.669 0.417
3 P 0.500 0.000 0.000
4 O 0.536 0.169 0.083
5 O 0.214 0.331 0.417
6 O 0.295 0.169 0.917
7 Tl 0.172 0.000 0.656
8 Tl 0.828 0.000 0.344
9 Tl 0.922 0.500 0.156
10 O 0.455 0.331 0.583
11 O 0.381 0.831 0.083
12 Tl 0.578 0.500 0.844
13 Cd 0.000 0.000 0.000
14 P 0.250 0.500 0.500
15 O 0.788 0.831 0.917
16 Cd 0.750 0.500 0.500

# 23
Below is crystalline TlCd2PO4 at its relaxed geometry, with properties calculated at the PBE level.

a = 6.082 Å, b = 6.082 Å, c = 5.612 Å
α = 122.48°, β = 122.48°, γ = 90.49°
Sites, in units of the cell vectors:
1 O 0.774 0.476 0.249
2 O 0.525 0.525 0.750
3 Tl 0.000 0.000 0.000
4 P 0.500 0.500 0.000
5 Cd 0.250 0.750 0.500
6 O 0.225 0.225 0.751
7 Cd 0.750 0.250 0.500
8 O 0.476 0.774 0.249

# 24
Below is crystalline Tl2CdP2O6 at its relaxed geometry, with properties calculated at the PBE level.

a = 5.882 Å, b = 5.882 Å, c = 6.712 Å
α = 64.01°, β = 64.01°, γ = 60.00°
Sites, in units of the cell vectors:
1 Tl 0.776 0.776 0.672
2 O 0.734 0.734 0.236
3 P 0.564 0.564 0.308
4 Tl 0.224 0.224 0.328
5 Cd 0.000 0.000 0.000
6 O 0.266 0.705 0.764
7 P 0.436 0.436 0.692
8 O 0.266 0.266 0.764
9 O 0.295 0.734 0.236
10 O 0.705 0.266 0.764
11 O 0.734 0.295 0.236

# 25
Below is crystalline Tl3CdP2O8 at its relaxed geometry, with properties calculated at the PBE level.

a = 5.737 Å, b = 5.737 Å, c = 7.688 Å
α = 90.00°, β = 90.00°, γ = 120.00°
Sites, in units of the cell vectors:
1 O 0.370 0.185 0.685
2 O 0.815 0.185 0.685
3 O 0.667 0.333 0.954
4 Cd 0.000 0.000 0.500
5 O 0.185 0.815 0.315
6 Tl 0.667 0.333 0.277
7 P 0.333 0.667 0.245
8 Tl 0.333 0.667 0.723
9 Tl 0.000 0.000 0.000
10 O 0.630 0.815 0.315
11 O 0.333 0.667 0.046
12 O 0.815 0.630 0.685
13 P 0.667 0.333 0.755
14 O 0.185 0.370 0.315

no.,formation energy from raw total energies (eV per formula unit),volume (A^3/atom)
1,-1.890,17.586
2,1.087,17.799
3,-23.571,15.532
4,-7.508,16.245
5,-25.619,13.326
6,5.390,18.486
7,2.902,16.085
8,-2.565,19.239
9,4.266,16.886
10,-0.626,17.409
11,-3.485,15.095
12,6.303,19.599
13,-2.171,24.680
14,-1.733,24.572
15,-1.408,17.350
16,-1.979,22.868
17,2.183,17.604
18,-0.737,22.210
19,-15.226,18.148
20,-11.788,16.858
21,4.437,22.825
22,-10.255,20.354
23,-10.330,16.781
24,-17.804,15.767
25,-21.690,15.655